# 1
## CeNdP2 (PBE)

Data for a geometry-optimized CeNdP2 structure.

Results
As for the energy: -27.48 eV per formula unit. The space group is P6_3/mmc, No. 194. The energy relative to the elements is -1.489 eV per atom. The value obtained for the mass density is 5.82 g cm⁻³.

a b c (Å): 4.107 4.107 13.528
angles (deg): 90.00 90.00 120.00
Positions (direct):
Ce1 0.000 0.000 0.000
Ce2 0.000 0.000 0.500
Nd1 0.333 0.667 0.250
Nd2 0.667 0.333 0.750
P1 0.333 0.667 0.619
P2 0.333 0.667 0.881
P3 0.667 0.333 0.119
P4 0.667 0.333 0.381

=====

# 2
## CeNd2P3 (PBE)

Data for a geometry-optimized CeNd2P3 structure.

Results
As for the energy: -40.90 eV per formula unit. The space group is Immm, No. 71. The energy relative to the elements is -1.534 eV per atom. The value obtained for the mass density is 5.76 g cm⁻³.

a b c (Å): 4.140 5.854 12.415
angles (deg): 90.00 90.00 90.00
Positions (direct):
Ce1 0.000 0.000 0.000
Ce2 0.500 0.500 0.500
Nd1 0.000 0.000 0.333
Nd2 0.000 0.000 0.667
Nd3 0.500 0.500 0.167
Nd4 0.500 0.500 0.833
P1 0.000 0.500 0.000
P2 0.000 0.500 0.338
P3 0.000 0.500 0.662
P4 0.500 0.000 0.162
P5 0.500 0.000 0.500
P6 0.500 0.000 0.838

=====

# 3
## CeNd2P3 (PBE)

Data for a geometry-optimized CeNd2P3 structure.

Results
As for the energy: -40.85 eV per formula unit. The space group is I4/mmm, No. 139. The energy relative to the elements is -1.525 eV per atom. The value obtained for the mass density is 5.77 g cm⁻³.

a b c (Å): 4.140 4.140 17.526
angles (deg): 90.00 90.00 90.00
Positions (direct):
Ce1 0.000 0.000 0.000
Ce2 0.500 0.500 0.500
Nd1 0.000 0.000 0.332
Nd2 0.000 0.000 0.668
Nd3 0.500 0.500 0.168
Nd4 0.500 0.500 0.832
P1 0.000 0.000 0.164
P2 0.000 0.000 0.500
P3 0.000 0.000 0.836
P4 0.500 0.500 0.000
P5 0.500 0.500 0.336
P6 0.500 0.500 0.664

=====

Total moment / μB per formula unit: 0.453, 0.482, 0.022